DFT (PBE) results for a geometry-optimized ZnIn4P structure.

Cell: 6.079 6.079 6.079 Å, 60.00 60.00 60.00°
Site moments in Bohr magnetons follow the coordinates.
Fractional coordinates of all 6 atoms:
In: 0.375 0.375 0.874  0.01
In: 0.874 0.375 0.375  0.01
In: 0.375 0.874 0.375  0.01
In: 0.375 0.375 0.375  0.01
Zn: 0.000 0.000 0.000  0.02
P: 0.750 0.750 0.750  0.17

Values from the calculation:
Crystal system   cubic
Symmetry   No. 216


DFT (PBE) results for a geometry-optimized ZnInP structure.

Cell: 3.998 3.998 9.641 Å, 78.03 78.03 60.00°
Fractional coordinates of all 6 atoms:
P: 0.273 0.273 0.180
P: 0.727 0.727 0.820
In: 0.125 0.125 0.625
In: 0.875 0.875 0.375
Zn: 0.635 0.635 0.095
Zn: 0.365 0.365 0.905

Values from the calculation:
Crystal system   trigonal
Symmetry   No. 166
Excess energy over the best structure of this formula in the dataset   0.0 meV/atom


DFT (PBE) results for a geometry-optimized ZnInP2 structure.

Cell: 5.608 5.608 5.608 Å, 146.78 121.74 68.74°
Fractional coordinates of all 4 atoms:
Zn: 0.533 0.533 0.000
P: 0.778 0.278 0.500
P: 0.941 0.941 0.000
In: 0.248 0.748 0.500

Values from the calculation:
Crystal system   orthorhombic
Symmetry   No. 44


DFT (PBE) results for a geometry-optimized ZnIn2P structure.

Cell: 7.252 7.252 7.252 Å, 31.28 31.28 31.28°
Fractional coordinates of all 4 atoms:
In: 0.242 0.242 0.242
In: 0.758 0.758 0.758
Zn: 0.000 0.000 0.000
P: 0.500 0.500 0.500

Values from the calculation:
Crystal system   trigonal
Symmetry   No. 166
Excess energy over the best structure of this formula in the dataset   54.8 meV/atom


DFT (PBE) results for a geometry-optimized ZnIn2P structure.

Cell: 6.594 6.594 6.594 Å, 146.74 144.78 49.22°
Fractional coordinates of all 4 atoms:
P: 0.441 0.441 0.000
Zn: 0.309 0.809 0.500
In: 0.728 0.228 0.500
In: 0.023 0.023 0.000

Values from the calculation:
Crystal system   orthorhombic
Symmetry   No. 44
Excess energy over the best structure of this formula in the dataset   86.0 meV/atom


DFT (PBE) results for a geometry-optimized ZnInP2 structure.

Cell: 9.517 9.517 9.517 Å, 18.47 18.47 18.47°
Fractional coordinates of all 4 atoms:
In: 0.750 0.750 0.750
P: 0.516 0.516 0.516
P: 0.984 0.984 0.984
Zn: 0.250 0.250 0.250

Values from the calculation:
Crystal system   trigonal
Symmetry   No. 166


DFT (PBE) results for a geometry-optimized Zn3In12P5 structure.

Cell: 13.886 13.886 13.886 Å, 109.47 109.47 109.47°
Fractional coordinates of all 80 atoms:
In: 0.175 0.104 0.732
In: 0.429 0.056 0.325
In: 0.604 0.732 0.675
In: 0.444 0.768 0.872
In: 0.571 0.944 0.675
In: 0.768 0.444 0.372
In: 0.128 0.732 0.556
In: 0.175 0.071 0.944
In: 0.071 0.175 0.444
In: 0.396 0.128 0.571
In: 0.232 0.675 0.104
In: 0.056 0.429 0.825
In: 0.128 0.396 0.071
In: 0.372 0.944 0.768
In: 0.896 0.825 0.768
In: 0.556 0.232 0.128
In: 0.232 0.556 0.628
In: 0.825 0.929 0.056
In: 0.896 0.071 0.628
In: 0.104 0.929 0.372
In: 0.372 0.429 0.104
In: 0.056 0.628 0.732
In: 0.675 0.444 0.571
In: 0.929 0.104 0.872
In: 0.104 0.175 0.232
In: 0.944 0.571 0.175
In: 0.675 0.232 0.604
In: 0.732 0.128 0.056
In: 0.396 0.268 0.325
In: 0.825 0.896 0.268
In: 0.268 0.396 0.825
In: 0.429 0.372 0.604
In: 0.604 0.872 0.429
In: 0.571 0.628 0.396
In: 0.556 0.325 0.929
In: 0.628 0.571 0.896
In: 0.768 0.325 0.896
In: 0.268 0.872 0.944
In: 0.325 0.556 0.429
In: 0.628 0.056 0.232
In: 0.732 0.604 0.175
In: 0.944 0.372 0.268
In: 0.071 0.896 0.128
In: 0.325 0.768 0.396
In: 0.872 0.268 0.444
In: 0.872 0.604 0.929
In: 0.929 0.825 0.556
In: 0.444 0.675 0.071
Zn: 0.250 0.625 0.875
Zn: 0.875 0.125 0.250
Zn: 0.750 0.375 0.125
Zn: 0.750 0.875 0.625
Zn: 0.625 0.375 0.750
Zn: 0.375 0.750 0.625
Zn: 0.250 0.125 0.375
Zn: 0.875 0.750 0.125
Zn: 0.375 0.625 0.250
Zn: 0.625 0.250 0.375
Zn: 0.125 0.875 0.750
Zn: 0.125 0.250 0.875
P: 0.125 0.750 0.375
P: 0.375 0.250 0.125
P: 0.750 0.125 0.875
P: 0.500 0.000 0.000
P: 0.750 0.625 0.375
P: 0.250 0.375 0.625
P: 0.625 0.750 0.875
P: 0.000 0.500 0.000
P: 0.500 0.500 0.000
P: 0.375 0.125 0.750
P: 0.500 0.000 0.500
P: 0.875 0.250 0.625
P: 0.000 0.000 0.000
P: 0.250 0.875 0.125
P: 0.125 0.375 0.250
P: 0.000 0.500 0.500
P: 0.875 0.625 0.750
P: 0.625 0.875 0.250
P: 0.000 0.000 0.500
P: 0.500 0.500 0.500

Values from the calculation:
Crystal system   cubic
Symmetry   No. 230


DFT (PBE) results for a geometry-optimized ZnInP structure.

Cell: 5.197 5.197 5.202 Å, 90.00 90.00 120.00°
Fractional coordinates of all 6 atoms:
P: 0.000 0.000 0.000
P: 0.000 0.000 0.500
In: 0.333 0.667 0.750
In: 0.667 0.333 0.250
Zn: 0.667 0.333 0.750
Zn: 0.333 0.667 0.250

Values from the calculation:
Crystal system   hexagonal
Symmetry   No. 194
Excess energy over the best structure of this formula in the dataset   504.7 meV/atom


Calculated formation energy / meV per atom: 506 -71 216 79 110 400 95 434